## DyHoTmZn (PBE)

Data for a geometry-optimized DyHoTmZn structure.

Summary:
The energy relative to the lowest polymorph listed for this composition is 199 meV per atom. The crystal system is cubic. For the formation energy, the calculation gives 36 meV/atom. Its symmetry is No. 216. The density of states at the Fermi level comes out at 1.0931 states/eV/atom. The total energy is -3.695 eV per atom.

a b c (Å): 5.2915 5.2915 5.2915
angles (deg): 60.00 60.00 60.00
With the nearest neighbours (Å) after each atom.
Fractional positions:
1 Tm 0.5000 0.5000 0.5000  4 Dy 3.24, 4 Ho 3.24
2 Zn 0.0000 0.0000 0.0000  4 Dy 3.24, 4 Ho 3.24
3 Ho 0.7500 0.7500 0.7500  4 Tm 3.24, 4 Zn 3.24
4 Dy 0.2500 0.2500 0.2500  4 Zn 3.24, 4 Tm 3.24